[1]
{
  "formula": "Rb2PuAgS4",
  "functional": "GGA-PBE",
  "state": "relaxed",
  "total_magnetization_mub_per_cell": 3.51,
  "spacegroup": "No. 10",
  "density_g_cm3": 4.89,
  "e_form_raw_mev_per_atom": -969.2,
  "lattice": [[7.340, 0.000, 0.000], [0.000, 4.005, 0.000], [-2.963, 0.000, 7.520]],
  "species": ["Rb", "Rb", "Pu", "Ag", "S", "S", "S", "S"],
  "frac_coords": [[0.000, 0.000, 0.000], [0.500, 0.500, 0.000], [0.000, 0.500, 0.500], [0.500, 0.000, 0.500], [0.195, 0.000, 0.709], [0.272, 0.500, 0.342], [0.728, 0.500, 0.658], [0.805, 0.000, 0.291]]
}

=====

[2]
{
  "formula": "RbPu4Ag3S12",
  "functional": "GGA-PBE",
  "state": "relaxed",
  "total_magnetization_mub_per_cell": 13.04,
  "spacegroup": "No. 204",
  "density_g_cm3": 6.10,
  "e_form_raw_mev_per_atom": -821.3,
  "lattice": [[-4.939, 4.939, 4.939], [4.939, -4.939, 4.939], [4.939, 4.939, -4.939]],
  "species": ["Rb", "Pu", "Pu", "Pu", "Pu", "Ag", "Ag", "Ag", "S", "S", "S", "S", "S", "S", "S", "S", "S", "S", "S", "S"],
  "frac_coords": [[0.000, 0.000, 0.000], [0.000, 0.000, 0.500], [0.000, 0.500, 0.000], [0.500, 0.000, 0.000], [0.500, 0.500, 0.500], [0.000, 0.500, 0.500], [0.500, 0.000, 0.500], [0.500, 0.500, 0.000], [0.132, 0.823, 0.309], [0.177, 0.309, 0.486], [0.177, 0.691, 0.868], [0.309, 0.132, 0.823], [0.309, 0.486, 0.177], [0.486, 0.177, 0.309], [0.514, 0.823, 0.691], [0.691, 0.514, 0.823], [0.691, 0.868, 0.177], [0.823, 0.309, 0.132], [0.823, 0.691, 0.514], [0.868, 0.177, 0.691]]
}

=====

[3]
{
  "formula": "Rb3Pu3AgS8",
  "functional": "GGA-PBE",
  "state": "relaxed",
  "total_magnetization_mub_per_cell": 11.99,
  "spacegroup": "No. 12",
  "density_g_cm3": 5.21,
  "e_form_raw_mev_per_atom": -1255.9,
  "lattice": [[6.962, -4.014, 0.000], [6.962, 4.014, 0.000], [-4.647, 0.000, 7.708]],
  "species": ["Rb", "Rb", "Rb", "Pu", "Pu", "Pu", "Ag", "S", "S", "S", "S", "S", "S", "S", "S"],
  "frac_coords": [[0.000, 0.000, 0.000], [0.000, 0.500, 0.000], [0.500, 0.000, 0.000], [0.000, 0.500, 0.500], [0.500, 0.000, 0.500], [0.500, 0.500, 0.500], [0.000, 0.000, 0.500], [0.236, 0.713, 0.686], [0.237, 0.237, 0.686], [0.270, 0.270, 0.309], [0.287, 0.764, 0.314], [0.713, 0.236, 0.686], [0.730, 0.730, 0.691], [0.763, 0.763, 0.314], [0.764, 0.287, 0.314]]
}